No. 1
Entry from the Alexandria database: a relaxed CaAsPtO5 crystal (GGA-PBE).

Cell and atoms, written as extended XYZ:
```
16
Lattice="-0.568 -1.235 6.123 -3.354 -3.680 -3.814 6.516 -2.083 -1.314" Properties=species:S:1:pos:R:3 pbc="T T T"
O -0.678 -1.715 0.842
As 2.557 -4.344 -1.148
O 3.272 -5.283 0.153
O -1.507 -4.010 -3.367
Ca -0.870 -3.451 -1.094
O 3.611 -4.272 -2.485
Ca 3.464 -3.547 2.089
O 0.999 -4.858 -1.608
O 2.467 -2.856 -0.219
O -1.017 -2.726 3.480
O 1.596 -2.140 2.603
Pt 0.000 0.000 0.000
Pt 3.258 -1.041 -0.657
O 0.127 -4.142 1.214
As 0.037 -2.654 2.143
O 4.102 -2.988 4.362
```

Properties
The calculation puts the raw formation energy at -1.468 eV per atom. The calculated total energy comes out at -98.45 eV for the cell shown.


No. 2
Entry from the Alexandria database: a relaxed Rb2CaAsO4 crystal (GGA-PBE).

Cell and atoms, written as extended XYZ:
```
16
Lattice="-5.377 -0.716 2.146 -1.611 -6.656 1.670 1.506 1.411 12.169" Properties=species:S:1:pos:R:3 pbc="T T T"
O -3.139 -5.710 3.056
O -2.557 -4.105 7.144
As -1.397 -2.801 7.456
O -4.308 -4.835 14.404
Rb -2.534 -2.505 12.632
As -2.688 -0.358 1.073
O -0.857 -1.760 6.127
Rb -5.636 -3.813 4.427
Ca -4.085 -3.159 8.529
O -3.228 -1.400 2.402
O -2.291 -1.771 8.588
Rb -0.045 0.757 8.066
Rb -3.826 -0.062 6.249
Ca 0.000 0.000 0.000
O -5.259 -4.286 10.111
O -0.288 0.023 12.110
```

Properties
The calculation puts the raw formation energy at -1.572 eV per atom. The calculated total energy comes out at -81.99 eV for the cell shown.


No. 3
Entry from the Alexandria database: a relaxed Rb3CaAs2O6 crystal (GGA-PBE).

Cell and atoms, written as extended XYZ:
```
12
Lattice="6.141 0.000 0.000 -3.071 5.318 0.000 0.000 0.000 7.437" Properties=species:S:1:pos:R:3 pbc="T T T"
Ca 0.000 0.000 3.718
Rb 3.071 1.773 2.442
O 3.071 3.398 5.130
As 3.071 1.773 5.820
Rb 0.000 3.546 4.995
O 1.407 4.358 2.307
Rb 0.000 0.000 0.000
As 0.000 3.546 1.617
O -1.407 4.358 2.307
O 0.000 1.920 2.307
O 1.663 0.960 5.130
O 4.478 0.960 5.130
```

Properties
The calculation puts the raw formation energy at -1.766 eV per atom. The calculated total energy comes out at -65.14 eV for the cell shown.


No. 4
Entry from the Alexandria database: a relaxed Rb3CaAs2O8 crystal (GGA-PBE).

Cell and atoms, written as extended XYZ:
```
14
Lattice="-2.966 4.394 3.020 -3.134 -4.364 -2.892 0.119 -4.495 6.655" Properties=species:S:1:pos:R:3 pbc="T T T"
O -3.065 -4.258 0.337
Rb -2.986 0.112 3.067
Rb -2.995 -4.577 3.717
O -2.908 -2.835 7.431
Rb 0.000 0.000 0.000
O -4.435 -2.228 1.733
As -2.934 -1.875 6.010
O -2.916 -0.207 6.447
O -1.546 -2.237 5.051
Ca 0.059 -2.247 3.328
As -3.048 -2.590 0.774
O -4.364 -2.223 5.111
O -3.073 -1.630 -0.647
O -1.617 -2.242 1.673
```

Properties
The calculation puts the raw formation energy at -1.751 eV per atom. The calculated total energy comes out at -78.39 eV for the cell shown.


No. 5
Entry from the Alexandria database: a relaxed CaAsRhO5 crystal (GGA-PBE).

Cell and atoms, written as extended XYZ:
```
16
Lattice="-2.685 -1.103 4.900 5.573 -0.669 0.966 -0.762 7.119 -0.815" Properties=species:S:1:pos:R:3 pbc="T T T"
Ca -0.527 4.380 2.989
O -2.524 4.275 3.940
O 4.650 1.072 1.111
Rh -0.381 3.559 -0.407
O 3.682 3.438 1.969
O 1.020 3.510 1.179
O 0.356 -0.105 2.085
O 2.819 5.719 0.408
Ca 2.653 0.968 2.063
O -1.557 1.910 3.082
O 1.106 1.838 3.872
O 1.770 5.452 2.967
As 2.374 4.532 1.607
Rh 0.000 0.000 0.000
As -0.248 0.815 3.445
O -0.693 -0.371 4.643
```

Properties
The calculation puts the raw formation energy at -1.542 eV per atom. The calculated total energy comes out at -102.26 eV for the cell shown.


No. 6
Entry from the Alexandria database: a relaxed Ca2AsRhO6 crystal (GGA-PBE).

Cell and atoms, written as extended XYZ:
```
10
Lattice="-3.393 0.360 -2.900 2.360 -3.506 -3.197 -2.527 -3.950 2.467" Properties=species:S:1:pos:R:3 pbc="T T T"
O -2.426 -1.491 -2.211
O -0.593 -3.674 -0.800
O -1.171 -3.356 -3.912
O -0.666 0.071 -0.570
Ca 1.040 -1.738 -1.718
O -3.771 -3.593 -0.899
Rh -2.194 -3.504 -2.169
As -1.972 0.209 -1.686
O -2.515 -5.458 -2.600
Ca -1.404 -1.960 1.114
```

Properties
The calculation puts the raw formation energy at -1.708 eV per atom. The calculated total energy comes out at -62.83 eV for the cell shown.


The following DOS at the Fermi energy values (in states/eV per cell) correspond, in order, to the records above: 8.114; 2.991; 4.634; 10.746; 4.008; 5.138.